# SnIrIN2

An optimized crystal structure of SnIrIN2 (GGA-PBE, Alexandria via LeMat-Bulk).

It has space group P4/mmm (No. 123), with a = 4.0126 Å, b = 4.0126 Å, c = 6.7316 Å, α = 90.00°, β = 90.00° and γ = 90.00°. Symmetry generates all atoms from Sn at (0.0000, 0.0000, 0.0000), Ir at (0.5000, 0.5000, 0.5000), I at (0.0000, 0.0000, 0.5000) and N at (0.0000, 0.5000, 0.0000).

The calculated total energy is -4.37 eV/atom. The energy above the most stable polymorph in this dataset is 0.682 eV per atom. The formation energy without anion corrections is 1839 meV per atom.



# SnIrIN2

An optimized crystal structure of SnIrIN2 (GGA-PBE, Alexandria via LeMat-Bulk).

It has space group P4/mmm (No. 123), with a = 3.9535 Å, b = 3.9535 Å, c = 7.6168 Å, α = 90.00°, β = 90.00° and γ = 90.00°. Symmetry generates all atoms from Sn at (0.0000, 0.0000, 0.0000), Ir at (0.5000, 0.5000, 0.5000), I at (0.5000, 0.5000, 0.0000) and N at (0.0000, 0.5000, 0.5000).

The calculated total energy is -5.06 eV/atom. The energy above the most stable polymorph in this dataset is 0.000 eV per atom. The formation energy without anion corrections is 1158 meV per atom.



# TaIrIN2

An optimized crystal structure of TaIrIN2 (GGA-PBE, Alexandria via LeMat-Bulk).

It has space group P4/mmm (No. 123), with a = 3.9664 Å, b = 3.9664 Å, c = 6.0432 Å, α = 90.00°, β = 90.00° and γ = 90.00°. Symmetry generates all atoms from Ta at (0.0000, 0.0000, 0.0000), Ir at (0.5000, 0.5000, 0.5000), I at (0.0000, 0.0000, 0.5000) and N at (0.0000, 0.5000, 0.0000).

The calculated total energy is -6.83 eV/atom. The energy above the most stable polymorph in this dataset is 0.000 eV per atom. The formation energy without anion corrections is 953 meV per atom.



# TaIrIN2

An optimized crystal structure of TaIrIN2 (GGA-PBE, Alexandria via LeMat-Bulk).

It has space group P4/mmm (No. 123), with a = 3.8248 Å, b = 3.8248 Å, c = 7.6929 Å, α = 90.00°, β = 90.00° and γ = 90.00°. Symmetry generates all atoms from Ta at (0.0000, 0.0000, 0.0000), Ir at (0.5000, 0.5000, 0.5000), I at (0.5000, 0.5000, 0.0000) and N at (0.0000, 0.5000, 0.5000).

The calculated total energy is -6.21 eV/atom. The energy above the most stable polymorph in this dataset is 0.618 eV per atom. The formation energy without anion corrections is 1571 meV per atom.



# TcIrI2N

An optimized crystal structure of TcIrI2N (GGA-PBE, Alexandria via LeMat-Bulk).

It has space group P4/mmm (No. 123), with a = 5.6984 Å, b = 5.6984 Å, c = 3.6940 Å, α = 90.00°, β = 90.00° and γ = 90.00°. Symmetry generates all atoms from Tc at (0.0000, 0.0000, 0.0000), Ir at (0.5000, 0.5000, 0.5000), I at (0.0000, 0.5000, 0.5000) and N at (0.5000, 0.5000, 0.0000).

The calculated total energy is -5.11 eV/atom. The energy above the most stable polymorph in this dataset is 0.000 eV per atom. The formation energy without anion corrections is 1017 meV per atom.



# TcIrIN2

An optimized crystal structure of TcIrIN2 (GGA-PBE, Alexandria via LeMat-Bulk).

It has space group P4/mmm (No. 123), with a = 3.8262 Å, b = 3.8262 Å, c = 5.9276 Å, α = 90.00°, β = 90.00° and γ = 90.00°. Symmetry generates all atoms from Tc at (0.0000, 0.0000, 0.0000), Ir at (0.5000, 0.5000, 0.5000), I at (0.0000, 0.0000, 0.5000) and N at (0.0000, 0.5000, 0.0000).

The calculated total energy is -6.26 eV/atom. The energy above the most stable polymorph in this dataset is 0.000 eV per atom. The formation energy without anion corrections is 1226 meV per atom.



# TcIrI2N

An optimized crystal structure of TcIrI2N (GGA-PBE, Alexandria via LeMat-Bulk).

It has space group P4/mmm (No. 123), with a = 5.3808 Å, b = 5.3808 Å, c = 3.6750 Å, α = 90.00°, β = 90.00° and γ = 90.00°. Symmetry generates all atoms from Tc at (0.0000, 0.0000, 0.0000), Ir at (0.5000, 0.5000, 0.5000), I at (0.0000, 0.5000, 0.0000) and N at (0.0000, 0.0000, 0.5000).

The calculated total energy is -5.04 eV/atom. The energy above the most stable polymorph in this dataset is 0.072 eV per atom. The formation energy without anion corrections is 1089 meV per atom.



# TcIrIN2

An optimized crystal structure of TcIrIN2 (GGA-PBE, Alexandria via LeMat-Bulk).

It has space group P4/mmm (No. 123), with a = 3.7918 Å, b = 3.7918 Å, c = 7.9355 Å, α = 90.00°, β = 90.00° and γ = 90.00°. Symmetry generates all atoms from Tc at (0.0000, 0.0000, 0.0000), Ir at (0.5000, 0.5000, 0.5000), I at (0.5000, 0.5000, 0.0000) and N at (0.0000, 0.5000, 0.5000).

The calculated total energy is -6.09 eV/atom. The energy above the most stable polymorph in this dataset is 0.166 eV per atom. The formation energy without anion corrections is 1392 meV per atom.



# TeIrIN2

An optimized crystal structure of TeIrIN2 (GGA-PBE, Alexandria via LeMat-Bulk).

It has space group P4/mmm (No. 123), with a = 3.8901 Å, b = 3.8901 Å, c = 8.6007 Å, α = 90.00°, β = 90.00° and γ = 90.00°. Symmetry generates all atoms from Te at (0.0000, 0.0000, 0.0000), Ir at (0.5000, 0.5000, 0.5000), I at (0.0000, 0.0000, 0.5000) and N at (0.0000, 0.5000, 0.0000).

The calculated total energy is -4.16 eV/atom. The energy above the most stable polymorph in this dataset is 0.772 eV per atom. The formation energy without anion corrections is 1885 meV per atom.



# TeIrIN2

An optimized crystal structure of TeIrIN2 (GGA-PBE, Alexandria via LeMat-Bulk).

It has space group P4/mmm (No. 123), with a = 3.8740 Å, b = 3.8740 Å, c = 8.2574 Å, α = 90.00°, β = 90.00° and γ = 90.00°. Symmetry generates all atoms from Te at (0.0000, 0.0000, 0.0000), Ir at (0.5000, 0.5000, 0.0000), I at (0.0000, 0.0000, 0.5000) and N at (0.0000, 0.5000, 0.5000).

The calculated total energy is -3.94 eV/atom. The energy above the most stable polymorph in this dataset is 0.986 eV per atom. The formation energy without anion corrections is 2100 meV per atom.



# TeIrI2N

An optimized crystal structure of TeIrI2N (GGA-PBE, Alexandria via LeMat-Bulk).

It has space group P4/mmm (No. 123), with a = 6.0562 Å, b = 6.0562 Å, c = 3.9085 Å, α = 90.00°, β = 90.00° and γ = 90.00°. Symmetry generates all atoms from Te at (0.0000, 0.0000, 0.0000), Ir at (0.5000, 0.5000, 0.5000), I at (0.0000, 0.5000, 0.0000) and N at (0.0000, 0.0000, 0.5000).

The calculated total energy is -3.03 eV/atom. The energy above the most stable polymorph in this dataset is 1.128 eV per atom. The formation energy without anion corrections is 1653 meV per atom.



# TeIrIN2

An optimized crystal structure of TeIrIN2 (GGA-PBE, Alexandria via LeMat-Bulk).

It has space group P4/mmm (No. 123), with a = 3.9474 Å, b = 3.9474 Å, c = 8.1472 Å, α = 90.00°, β = 90.00° and γ = 90.00°. Symmetry generates all atoms from Te at (0.0000, 0.0000, 0.0000), Ir at (0.5000, 0.5000, 0.5000), I at (0.5000, 0.5000, 0.0000) and N at (0.0000, 0.5000, 0.5000).

The calculated total energy is -4.85 eV/atom. The energy above the most stable polymorph in this dataset is 0.078 eV per atom. The formation energy without anion corrections is 1192 meV per atom.



# TeIrI2N

An optimized crystal structure of TeIrI2N (GGA-PBE, Alexandria via LeMat-Bulk).

It has space group P4/mmm (No. 123), with a = 5.7692 Å, b = 5.7692 Å, c = 3.7163 Å, α = 90.00°, β = 90.00° and γ = 90.00°. Symmetry generates all atoms from Te at (0.0000, 0.0000, 0.0000), Ir at (0.5000, 0.5000, 0.5000), I at (0.0000, 0.5000, 0.5000) and N at (0.5000, 0.5000, 0.0000).

The calculated total energy is -4.16 eV/atom. The energy above the most stable polymorph in this dataset is 0.000 eV per atom. The formation energy without anion corrections is 525 meV per atom.



# TeIrI2N

An optimized crystal structure of TeIrI2N (GGA-PBE, Alexandria via LeMat-Bulk).

It has space group P4/mmm (No. 123), with a = 4.7140 Å, b = 4.7140 Å, c = 4.9284 Å, α = 90.00°, β = 90.00° and γ = 90.00°. Symmetry generates all atoms from Te at (0.0000, 0.0000, 0.0000), Ir at (0.5000, 0.5000, 0.0000), I at (0.0000, 0.5000, 0.5000) and N at (0.0000, 0.0000, 0.5000).

The calculated total energy is -3.07 eV/atom. The energy above the most stable polymorph in this dataset is 1.092 eV per atom. The formation energy without anion corrections is 1618 meV per atom.